A plane-wave DFT calculation with PBE was carried out for a relaxed structure of HfFeAu.

Unit cell a=3.942 b=3.942 c=13.428 alpha=90.00 beta=90.00 gamma=90.00
Space group I4/mmm (No. 139)
Inequivalent atoms, fractional coordinates:
1 Hf 0.000 0.000 0.157 [4 per cell]
2 Fe 0.000 0.500 0.000 [4 per cell]
3 Au 0.000 0.000 0.367 [4 per cell]

Calculated values
- formation enthalpy at 0 K (eV per atom) = -0.17

=====

A plane-wave DFT calculation with PBE was carried out for a relaxed structure of LiCo2Bi2.

Unit cell a=5.041 b=5.041 c=8.110 alpha=90.00 beta=90.00 gamma=90.00
Space group I4/mmm (No. 139)
Inequivalent atoms, fractional coordinates:
1 Li 0.000 0.000 0.000 [2 per cell]
2 Co 0.000 0.000 0.367 [4 per cell]
3 Bi 0.000 0.500 0.250 [4 per cell]

Calculated values
- E above lowest polymorph (kcal/mol of atoms) = 2.33
- formation enthalpy at 0 K (eV per atom) = 0.29